Record 1
First-principles (GGA-PBE) data for AlZnPO2 after structural relaxation, as listed in the Alexandria database.

a = 3.5531 Å, b = 3.5531 Å, c = 5.5613 Å
α = 90.00°, β = 90.00°, γ = 90.00°
Space group P4/mmm (No. 123)
Asymmetric unit:
Al 0.0000 0.0000 0.0000 [1 per cell]
Zn 0.5000 0.5000 0.5000 [1 per cell]
P 0.0000 0.0000 0.5000 [1 per cell]
O 0.0000 0.5000 0.0000 [2 per cell]

Its density of states at the Fermi level is 0.97 states/eV/atom. The calculation puts the total moment at 0.26 μB per cell. The calculation puts the energy relative to the elements, uncorrected at -0.856 eV per atom. The calculation puts the calculated volume at 14.04 Å³/atom. The value obtained for the distance to the lowest polymorph of the same formula is 0 meV/atom.

Record 2
First-principles (GGA-PBE) data for Al2ZnPO after structural relaxation, as listed in the Alexandria database.

a = 4.7031 Å, b = 4.7031 Å, c = 4.5514 Å
α = 90.00°, β = 90.00°, γ = 90.00°
Space group P4/mmm (No. 123)
Asymmetric unit:
Al 0.0000 0.5000 0.0000 [2 per cell]
Zn 0.0000 0.0000 0.5000 [1 per cell]
P 0.0000 0.0000 0.0000 [1 per cell]
O 0.5000 0.5000 0.5000 [1 per cell]

Its density of states at the Fermi level is 0.73 states/eV/atom. The calculation puts the total moment at 0.00 μB per cell. The calculation puts the energy relative to the elements, uncorrected at 0.603 eV per atom. The calculation puts the calculated volume at 20.13 Å³/atom.

Record 3
First-principles (GGA-PBE) data for AlZnP2O after structural relaxation, as listed in the Alexandria database.

a = 4.8249 Å, b = 4.8249 Å, c = 3.5947 Å
α = 90.00°, β = 90.00°, γ = 90.00°
Space group P4/mmm (No. 123)
Asymmetric unit:
Al 0.0000 0.0000 0.0000 [1 per cell]
Zn 0.5000 0.5000 0.5000 [1 per cell]
P 0.0000 0.5000 0.5000 [2 per cell]
O 0.5000 0.5000 0.0000 [1 per cell]

Its density of states at the Fermi level is 1.06 states/eV/atom. The calculation puts the total moment at 0.00 μB per cell. The calculation puts the energy relative to the elements, uncorrected at 0.475 eV per atom. The calculation puts the calculated volume at 16.74 Å³/atom. The value obtained for the distance to the lowest polymorph of the same formula is 618 meV/atom.

Record 4
First-principles (GGA-PBE) data for ZrAlPO2 after structural relaxation, as listed in the Alexandria database.

a = 3.6884 Å, b = 3.6884 Å, c = 4.8764 Å
α = 90.00°, β = 90.00°, γ = 90.00°
Space group P4/mmm (No. 123)
Asymmetric unit:
Zr 0.0000 0.0000 0.0000 [1 per cell]
Al 0.5000 0.5000 0.5000 [1 per cell]
P 0.5000 0.5000 0.0000 [1 per cell]
O 0.0000 0.5000 0.5000 [2 per cell]

Its density of states at the Fermi level is 0.27 states/eV/atom. The calculation puts the total moment at 0.00 μB per cell. The calculation puts the energy relative to the elements, uncorrected at -1.561 eV per atom. The calculation puts the calculated volume at 13.27 Å³/atom. The value obtained for the distance to the lowest polymorph of the same formula is 0 meV/atom.

Record 5
First-principles (GGA-PBE) data for ZrAlP2O after structural relaxation, as listed in the Alexandria database.

a = 4.8997 Å, b = 4.8997 Å, c = 3.3896 Å
α = 90.00°, β = 90.00°, γ = 90.00°
Space group P4/mmm (No. 123)
Asymmetric unit:
Zr 0.0000 0.0000 0.0000 [1 per cell]
Al 0.5000 0.5000 0.5000 [1 per cell]
P 0.0000 0.5000 0.5000 [2 per cell]
O 0.5000 0.5000 0.0000 [1 per cell]

Its density of states at the Fermi level is 0.78 states/eV/atom. The calculation puts the total moment at 0.00 μB per cell. The calculation puts the energy relative to the elements, uncorrected at -0.647 eV per atom. The calculation puts the calculated volume at 16.27 Å³/atom. The value obtained for the distance to the lowest polymorph of the same formula is 0 meV/atom.

Record 6
First-principles (GGA-PBE) data for ZrAlPO2 after structural relaxation, as listed in the Alexandria database.

a = 4.0136 Å, b = 4.0136 Å, c = 5.5820 Å
α = 90.00°, β = 90.00°, γ = 90.00°
Space group P4/mmm (No. 123)
Asymmetric unit:
Zr 0.0000 0.0000 0.0000 [1 per cell]
Al 0.5000 0.5000 0.5000 [1 per cell]
P 0.0000 0.0000 0.5000 [1 per cell]
O 0.0000 0.5000 0.0000 [2 per cell]

Its density of states at the Fermi level is 0.68 states/eV/atom. The calculation puts the total moment at 0.00 μB per cell. The calculation puts the energy relative to the elements, uncorrected at -1.352 eV per atom. The calculation puts the calculated volume at 17.98 Å³/atom. The value obtained for the distance to the lowest polymorph of the same formula is 209 meV/atom.